(1)
Here is crystalline TbZn2Si at its relaxed geometry from the Alexandria database. Energies are from GGA-PBE.

Unit cell a=4.390 b=4.104 c=4.104 alpha=90.00 beta=90.00 gamma=90.00
Fractional coordinates of all 4 atoms:
Zn 0.000 0.000 0.500
Zn 0.000 0.500 0.000
Tb 0.500 0.000 0.000
Si 0.500 0.500 0.500

Results
For the energy, the calculation gives -3.4974 eV/atom. The total magnetic moment is 0.0 μB per cell. The formation energy without anion corrections is -347 meV per atom.

---

(2)
Here is crystalline TbZn11Si at its relaxed geometry from the Alexandria database. Energies are from GGA-PBE.

Unit cell a=5.225 b=6.785 c=6.846 alpha=81.36 beta=67.57 gamma=66.83
Fractional coordinates of all 13 atoms:
Tb 0.000 0.000 0.000
Zn 0.281 0.214 0.216
Zn 0.719 0.786 0.784
Zn 0.504 0.786 0.216
Zn 0.496 0.214 0.784
Zn 0.354 0.645 0.644
Zn 0.646 0.355 0.356
Zn 0.002 0.355 0.644
Zn 0.998 0.645 0.356
Zn 0.000 0.500 0.000
Zn 0.500 0.000 0.500
Zn 0.000 0.000 0.500
Si 0.500 0.500 0.000

Results
For the energy, the calculation gives -1.9657 eV/atom. The total magnetic moment is 0.0 μB per cell. The formation energy without anion corrections is -114 meV per atom.

---

(3)
Here is crystalline TbZrSi2 at its relaxed geometry from the Alexandria database. Energies are from GGA-PBE.

Unit cell a=4.021 b=3.814 c=5.526 alpha=90.00 beta=111.37 gamma=90.00
Fractional coordinates of all 4 atoms:
Tb 0.439 0.500 0.417
Zr 0.721 0.000 0.981
Si 0.163 0.500 0.866
Si 0.008 0.000 0.554

Results
For the energy, the calculation gives -6.8281 eV/atom. The total magnetic moment is 0.0 μB per cell. The calculation puts the energy above the most stable polymorph in this dataset at 0 meV/atom. The formation energy without anion corrections is -822 meV per atom.

---

(4)
Here is crystalline TbZrSi2 at its relaxed geometry from the Alexandria database. Energies are from GGA-PBE.

Unit cell a=3.890 b=3.890 c=7.069 alpha=74.03 beta=74.03 gamma=60.00
Fractional coordinates of all 4 atoms:
Si 0.257 0.257 0.229
Si 0.743 0.743 0.771
Tb 0.500 0.500 0.500
Zr 0.000 0.000 0.000

Results
For the energy, the calculation gives -6.6062 eV/atom. The total magnetic moment is 0.0 μB per cell. The calculation puts the energy above the most stable polymorph in this dataset at 222 meV/atom. The formation energy without anion corrections is -600 meV per atom.

---

(5)
Here is crystalline SiTc at its relaxed geometry from the Alexandria database. Energies are from GGA-PBE.

Unit cell a=3.427 b=3.427 c=4.995 alpha=90.00 beta=90.00 gamma=90.00
Fractional coordinates of all 4 atoms:
Si 0.250 0.750 0.000
Si 0.750 0.250 0.000
Tc 0.250 0.250 0.351
Tc 0.750 0.750 0.649

Results
For the energy, the calculation gives -7.9515 eV/atom. The total magnetic moment is 0.0 μB per cell. The calculation puts the energy above the most stable polymorph in this dataset at 464 meV/atom. The formation energy without anion corrections is -57 meV per atom.

---

(6)
Here is crystalline SiTc at its relaxed geometry from the Alexandria database. Energies are from GGA-PBE.

Unit cell a=11.449 b=2.926 c=4.949 alpha=90.00 beta=90.00 gamma=90.00
Fractional coordinates of all 12 atoms:
Si 0.357 0.000 0.329
Si 0.643 0.000 0.329
Si 0.857 0.500 0.829
Si 0.143 0.500 0.829
Si 0.000 0.000 0.115
Si 0.500 0.500 0.615
Tc 0.320 0.000 0.814
Tc 0.680 0.000 0.814
Tc 0.820 0.500 0.314
Tc 0.180 0.500 0.314
Tc 0.000 0.000 0.601
Tc 0.500 0.500 0.101

Results
For the energy, the calculation gives -8.1637 eV/atom. The total magnetic moment is 0.0 μB per cell. The calculation puts the energy above the most stable polymorph in this dataset at 252 meV/atom. The formation energy without anion corrections is -269 meV per atom.